Material: Mg3Br
Method: DFT, GGA-PBE
State: optimized geometry

abc: 5.5457 5.5457 3.4665
angles: 90.00 90.00 111.69
With the nearest neighbours (Å) after each atom.
Positions (direct):
1 Mg 0.0000 0.5000 0.5000  8 Mg 3.11-3.47, 4 Br 3.27
2 Mg 0.5000 0.5000 0.0000  2 Br 3.11, 10 Mg 3.27-3.47
3 Mg 0.5000 0.0000 0.5000  8 Mg 3.11-3.47, 4 Br 3.27
4 Br 0.0000 0.0000 0.0000  10 Mg 3.11-3.27, 2 Br 3.47

Volume: 24.8 A^3/atom
Mass density: 2.562 g cm⁻³
SG: Cmmm (65)
Crystal system: orthorhombic
Excess energy over the best structure of this formula in the dataset: 147 meV per atom
ΔE_f (raw): -0.17 eV per atom